LiInPd2 GGA-PBE optimized geometry; crystal system = tetragonal; space group = P4/mmm; raw total energy = -17.1 eV/f.u.
1.0
3.268 0.000 0.000
0.000 3.268 0.000
0.000 0.000 5.972
Li In Pd
1 1 2
direct
0.000 0.000 0.000
0.000 0.000 0.500
0.500 0.500 0.238
0.500 0.500 0.762